# 1
# TaAg2Br8

A relaxed TaAg2Br8 crystal (PBE, the Alexandria database).

Lattice parameters (Å, degrees): 6.8185 7.2710 8.7473 82.15 78.82 81.16
Last column: nearest neighbours and their distance in Å.
Positions (direct):
Ta  0.0000  0.0000  0.0000  6 Br 2.53-2.57
Ag  0.0144  0.3584  0.6828  3 Br 2.60-2.80
Ag  0.9856  0.6416  0.3172  3 Br 2.60-2.80
Br  0.0831  0.0508  0.2591  1 Ta 2.53
Br  0.2087  0.6745  0.0126  1 Ta 2.57, 1 Ag 2.80
Br  0.2838  0.5082  0.4708  2 Ag 2.60-2.64
Br  0.3117  0.1421  0.8567  1 Ta 2.54
Br  0.6883  0.8579  0.1433  1 Ta 2.54
Br  0.7162  0.4918  0.5292  2 Ag 2.60-2.64
Br  0.7913  0.3255  0.9874  1 Ta 2.57, 1 Ag 2.80
Br  0.9169  0.9492  0.7409  1 Ta 2.53

Calculated values
**Calculated total energy**: -3.396 eV/atom

=====

# 2
# Ta2AgBr

A relaxed Ta2AgBr crystal (PBE, the Alexandria database).

Lattice parameters (Å, degrees): 3.0809 3.0809 7.4269 90.00 90.00 90.00
Last column: nearest neighbours and their distance in Å.
Positions (direct):
Ta  0.0000  0.0000  0.2401  4 Br 2.82, 4 Ag 2.91, 4 Ta 3.08
Ta  0.0000  0.0000  0.7599  4 Br 2.82, 4 Ag 2.91, 4 Ta 3.08
Ag  0.5000  0.5000  0.5000  8 Ta 2.91, 4 Ag 3.08
Br  0.5000  0.5000  0.0000  8 Ta 2.82, 4 Br 3.08

Calculated values
**Calculated total energy**: -6.455 eV/atom
**ΔE to the lowest computed polymorph**: 408.5 meV per atom

=====

# 3
# Ta2TcAgBr

A relaxed Ta2TcAgBr crystal (PBE, the Alexandria database).

Lattice parameters (Å, degrees): 4.7157 4.7157 4.5404 90.00 90.00 90.00
Last column: nearest neighbours and their distance in Å.
Positions (direct):
Ta  0.0000  0.5000  0.0000  2 Br 2.36
Ta  0.5000  0.0000  0.0000  2 Br 2.36
Tc  0.0000  0.0000  0.5000  2 Br 2.27
Ag  0.5000  0.5000  0.5000  8 Ta 3.27, 4 Tc 3.33
Br  0.0000  0.0000  0.0000  2 Tc 2.27, 4 Ta 2.36

Calculated values
**Calculated total energy**: -6.228 eV/atom

=====

# 4
# Tb2AgBr

A relaxed Tb2AgBr crystal (PBE, the Alexandria database).

Lattice parameters (Å, degrees): 10.8872 10.8872 10.8872 18.22 18.22 18.22
Last column: nearest neighbours and their distance in Å.
Positions (direct):
Tb  0.0920  0.0920  0.0920  1 Ag 2.95, 3 Br 3.12
Tb  0.9080  0.9080  0.9080  1 Ag 2.95, 3 Br 3.12
Ag  0.0000  0.0000  0.0000  2 Tb 2.95
Br  0.5000  0.5000  0.5000  6 Tb 3.12, 6 Br 3.45

Calculated values
**Calculated total energy**: -3.644 eV/atom
**ΔE to the lowest computed polymorph**: 351.3 meV per atom

=====

# 5
# TbAg2Br5

A relaxed TbAg2Br5 crystal (PBE, the Alexandria database).

Lattice parameters (Å, degrees): 5.7073 7.5485 7.6250 82.54 69.09 68.84
Last column: nearest neighbours and their distance in Å.
Positions (direct):
Tb  0.0000  0.0000  0.0000  6 Br 2.80-2.87
Ag  0.5011  0.5247  0.9544  2 Br 2.56-2.58
Ag  0.5132  0.9973  0.4958  2 Br 2.53-2.54
Br  0.0521  0.6672  0.2178  1 Ag 2.58, 1 Tb 2.81
Br  0.2751  0.7667  0.6695  1 Ag 2.54
Br  0.5104  0.9934  0.9899  2 Tb 2.84-2.87
Br  0.7430  0.2305  0.3204  1 Ag 2.53, 1 Tb 2.80
Br  0.9784  0.3240  0.7671  1 Ag 2.56, 1 Tb 2.82

Calculated values
**Calculated total energy**: -3.394 eV/atom

=====

# 6
# Tb2AgBr

A relaxed Tb2AgBr crystal (PBE, the Alexandria database).

Lattice parameters (Å, degrees): 8.7132 8.7132 8.7132 25.40 25.40 25.40
Last column: nearest neighbours and their distance in Å.
Positions (direct):
Tb  0.0000  0.0000  0.0000  3 Ag 2.96, 3 Br 3.13
Tb  0.1757  0.1757  0.1757  3 Ag 2.99, 3 Br 3.14
Ag  0.5887  0.5887  0.5887  6 Tb 2.96-2.99
Br  0.4210  0.4210  0.4210  6 Tb 3.13-3.14

Calculated values
**Calculated total energy**: -3.995 eV/atom
**ΔE to the lowest computed polymorph**: 0.0 meV per atom

=====

# 7
# Tb2AgBr8

A relaxed Tb2AgBr8 crystal (PBE, the Alexandria database).

Lattice parameters (Å, degrees): 12.2213 12.2213 5.6116 99.75 99.75 31.86
Last column: nearest neighbours and their distance in Å.
Positions (direct):
Tb  0.1676  0.1676  0.4448  5 Br 2.80-2.81
Tb  0.8324  0.8324  0.5552  5 Br 2.80-2.81
Ag  0.0000  0.0000  0.5000  4 Br 2.60
Br  0.1721  0.1721  0.9483  2 Tb 2.81
Br  0.1860  0.6691  0.6221  1 Ag 2.60, 1 Tb 2.80
Br  0.2888  0.2888  0.5355  1 Tb 2.80
Br  0.3309  0.8140  0.3779  1 Ag 2.60, 1 Tb 2.80
Br  0.6691  0.1860  0.6221  1 Ag 2.60, 1 Tb 2.80
Br  0.7112  0.7112  0.4645  1 Tb 2.80
Br  0.8140  0.3309  0.3779  1 Ag 2.60, 1 Tb 2.80
Br  0.8279  0.8279  0.0517  2 Tb 2.81

Calculated values
**Calculated total energy**: -3.635 eV/atom

=====

# 8
# TbAg3Br6

A relaxed TbAg3Br6 crystal (PBE, the Alexandria database).

Lattice parameters (Å, degrees): 7.9003 7.9053 8.1511 61.47 61.45 62.54
Last column: nearest neighbours and their distance in Å.
Positions (direct):
Tb  0.0000  0.0000  0.0000  6 Br 2.82-2.84
Ag  0.0000  0.5000  0.0000  2 Br 2.58
Ag  0.5000  0.0000  0.0000  2 Br 2.58
Ag  0.5000  0.5000  0.5000  6 Br 2.83-2.96
Br  0.2228  0.7366  0.7715  1 Ag 2.58, 1 Tb 2.84
Br  0.2474  0.2479  0.7118  1 Tb 2.82, 3 Ag 2.83-3.13
Br  0.2677  0.7725  0.2242  1 Ag 2.58, 1 Tb 2.84
Br  0.7323  0.2275  0.7758  1 Ag 2.58, 1 Tb 2.84
Br  0.7526  0.7521  0.2882  1 Tb 2.82, 3 Ag 2.83-3.13
Br  0.7772  0.2634  0.2285  1 Ag 2.58, 1 Tb 2.84

Calculated values
**Calculated total energy**: -3.205 eV/atom
**ΔE to the lowest computed polymorph**: 21.1 meV per atom

=====

The energy relative to the elements, uncorrected results, record by record, are as follows: -0.58; 0.60; 1.49; -0.20; -1.06; -0.55; -1.32; -0.88 eV per atom.